Entry 1:
First-principles (GGA-PBE) data for Ba2PuS3F3 after structural relaxation, as listed in Alexandria via LeMat-Bulk.

Cell: 4.143 7.332 7.332 Å, 120.00 90.00 90.00°
Each line ends with the local moment (μB).
Fractional positions:
Ba  0.500  0.333  0.667  -0.02
Ba  0.500  0.667  0.333  -0.02
F  0.500  0.790  0.000  -0.04
F  0.500  0.000  0.790  -0.04
F  0.500  0.210  0.210  -0.04
Pu  0.000  0.000  0.000  4.28
S  0.000  0.636  0.636  -0.24
S  0.000  0.364  0.000  -0.24
S  0.000  0.000  0.364  -0.24

Raw total energy (eV/cell): -57.04
E_form (uncorrected) (eV per atom): -2.32
SG: P-62m (189)

***

Entry 2:
First-principles (GGA-PBE) data for KTiP2S8 after structural relaxation, as listed in Alexandria via LeMat-Bulk.

Cell: 6.012 6.012 9.054 Å, 90.00 90.00 120.00°
Fractional positions:
S  0.334  0.333  0.347
S  0.667  0.333  0.061
S  0.333  0.667  0.939
S  0.333  0.999  0.653
S  0.667  0.001  0.347
S  0.999  0.666  0.347
S  0.001  0.334  0.653
S  0.666  0.667  0.653
K  0.000  0.000  0.000
P  0.667  0.333  0.283
P  0.333  0.667  0.717
Ti  0.000  0.000  0.500

Raw total energy (eV/cell): -58.94
E_form (uncorrected) (eV per atom): -0.51
SG: P-3 (147)

***

Entry 3:
First-principles (GGA-PBE) data for Ac3NdHg6 after structural relaxation, as listed in Alexandria via LeMat-Bulk.

Cell: 8.249 8.249 8.249 Å, 60.00 60.00 60.00°
Fractional positions:
Ac  0.750  0.750  0.750
Ac  0.250  0.250  0.250
Ac  0.500  0.500  0.500
Hg  0.755  0.755  0.245
Hg  0.245  0.755  0.245
Hg  0.245  0.755  0.755
Hg  0.245  0.245  0.755
Hg  0.755  0.245  0.245
Hg  0.755  0.245  0.755
Nd  0.000  0.000  0.000

DFT formation energy (meV per atom): 165
Raw total energy (eV/cell): -17.25
Excess energy over the best structure of this formula in the dataset (eV/f.u.): 5.95
SG: Fm-3m (225)

***

Entry 4:
First-principles (GGA-PBE) data for Na2SiGe2 after structural relaxation, as listed in Alexandria via LeMat-Bulk.

Cell: 6.135 6.126 7.336 Å, 100.14 90.00 120.05°
Fractional positions:
Ge  0.283  0.273  0.519
Ge  0.990  0.273  0.019
Ge  0.717  0.727  0.481
Ge  0.010  0.727  0.981
Si  0.039  0.000  0.750
Si  0.961  0.000  0.250
Na  0.227  0.715  0.375
Na  0.773  0.285  0.625
Na  0.513  0.285  0.125
Na  0.487  0.715  0.875

Raw total energy (eV/cell): -34.41
Excess energy over the best structure of this formula in the dataset (eV/f.u.): 0.00
E_form (uncorrected) (eV per atom): 0.02
SG: C2/c (15)

***

Entry 5:
First-principles (GGA-PBE) data for TmHf2Ga8 after structural relaxation, as listed in Alexandria via LeMat-Bulk.

Cell: 5.409 7.164 7.091 Å, 59.66 79.42 68.68°
Fractional positions:
Ga  0.195  0.874  0.790
Ga  0.805  0.126  0.210
Ga  0.195  0.664  0.210
Ga  0.257  0.424  0.000
Ga  0.500  0.240  0.520
Ga  0.805  0.336  0.790
Ga  0.743  0.576  0.000
Ga  0.500  0.760  0.480
Hf  0.000  0.285  0.430
Hf  0.000  0.715  0.570
Tm  0.500  0.000  0.000

DFT formation energy (meV per atom): -157
Raw total energy (eV/cell): -50.33
SG: C2/m (12)

***

Entry 6:
First-principles (GGA-PBE) data for La2YMgC after structural relaxation, as listed in Alexandria via LeMat-Bulk.

Cell: 5.332 5.332 4.930 Å, 90.00 90.00 90.00°
Fractional positions:
Mg  0.500  0.500  0.500
La  0.000  0.500  0.000
La  0.500  0.000  0.000
Y  0.000  0.000  0.500
C  0.000  0.000  0.000

DFT formation energy (meV per atom): -104
Raw total energy (eV/cell): -27.65
SG: P4/mmm (123)

***

Entry 7:
First-principles (GGA-PBE) data for GeAsP after structural relaxation, as listed in Alexandria via LeMat-Bulk.

Cell: 5.035 5.128 5.512 Å, 89.80 88.96 88.61°
Fractional positions:
P  0.575  0.510  0.845
P  0.884  0.343  0.094
Ge  0.402  0.849  0.101
Ge  0.717  0.030  0.400
As  0.235  0.197  0.813
As  0.053  0.657  0.358

DFT formation energy (meV per atom): 67
Raw total energy (eV/cell): -28.95
Excess energy over the best structure of this formula in the dataset (eV/f.u.): 0.21
SG: P1 (1)

***

Entry 8:
First-principles (GGA-PBE) data for VCdPd2 after structural relaxation, as listed in Alexandria via LeMat-Bulk.

Cell: 2.819 2.819 9.972 Å, 81.88 81.88 60.00°
Fractional positions:
Cd  0.000  0.000  0.000
Pd  0.904  0.904  0.289
Pd  0.096  0.096  0.711
V  0.500  0.500  0.500

DFT formation energy (meV per atom): -40
Raw total energy (eV/cell): -20.58
SG: R-3m (166)